# 1
VASP calculation (PBE-GGA) on a relaxed structure of HfSi2H.

Computed properties:
Crystal system: tetragonal
Energy above the most stable polymorph in this dataset, meV per atom: 0

Cell lengths 4.7676, 4.7676, 5.9694 Å; angles 66.46, 66.46, 90.00 degrees
Positions (direct):
1 Si 0.8750 0.6245 0.7500
2 Si 0.3750 0.6255 0.7500
3 Si 0.3755 0.6250 0.2500
4 Si 0.3745 0.1250 0.2500
5 H 0.2500 0.7500 0.5000
6 H 0.5000 0.5000 0.0000
7 Hf 0.0000 0.0000 0.0000
8 Hf 0.7500 0.2500 0.5000

# 2
VASP calculation (PBE-GGA) on a relaxed structure of Hf2SiH.

Computed properties:
Crystal system: monoclinic
Energy above the most stable polymorph in this dataset, meV per atom: 333

Cell lengths 3.1614, 3.1611, 6.4977 Å; angles 100.71, 100.71, 73.26 degrees
Positions (direct):
1 Hf 0.5213 0.9663 0.0723
2 Hf 0.1879 0.6329 0.4756
3 Si 0.8255 0.2705 0.7665
4 H 0.1698 0.6149 0.1641

# 3
VASP calculation (PBE-GGA) on a relaxed structure of Hf2SiH.

Computed properties:
Crystal system: tetragonal
Energy above the most stable polymorph in this dataset, meV per atom: 292

Cell lengths 6.3192, 6.3192, 5.4068 Å; angles 54.24, 54.24, 90.00 degrees
Positions (direct):
1 Si 0.0000 0.0000 0.0000
2 Si 0.7500 0.2500 0.5000
3 H 0.5000 0.5000 0.0000
4 H 0.2500 0.7500 0.5000
5 Hf 0.1994 0.6250 0.2500
6 Hf 0.5506 0.1250 0.2500
7 Hf 0.8750 0.8006 0.7500
8 Hf 0.3750 0.4494 0.7500

# 4
VASP calculation (PBE-GGA) on a relaxed structure of Hf4Si2H.

Computed properties:
Calculated total energy, eV per cell: -55.9
Crystal system: monoclinic

Cell lengths 3.1100, 6.4071, 7.3933 Å; angles 121.44, 102.14, 90.00 degrees
Positions (direct):
1 Hf 0.9018 0.2329 0.8035
2 Hf 0.3976 0.7295 0.7952
3 Hf 0.6024 0.2705 0.2048
4 Hf 0.0982 0.7671 0.1965
5 Si 0.2510 0.2470 0.5020
6 Si 0.7490 0.7530 0.4980
7 H 0.0000 0.0000 0.0000

# 5
VASP calculation (PBE-GGA) on a relaxed structure of HfSiH.

Computed properties:
Crystal system: monoclinic
Energy above the most stable polymorph in this dataset, meV per atom: 114

Cell lengths 5.1680, 3.6504, 9.7598 Å; angles 90.00, 121.87, 90.00 degrees
Positions (direct):
1 Hf 0.8450 0.0000 0.2423
2 Hf 0.2568 0.0000 0.6348
3 Hf 0.2568 0.5000 0.1348
4 Hf 0.8450 0.5000 0.7423
5 H 0.8354 0.0000 0.4461
6 H 0.8354 0.5000 0.9461
7 H 0.4458 0.5000 0.7420
8 H 0.4458 0.0000 0.2420
9 Si 0.3049 0.5000 0.4314
10 Si 0.7915 0.0000 0.9444
11 Si 0.7915 0.5000 0.4444
12 Si 0.3049 0.0000 0.9314

# 6
VASP calculation (PBE-GGA) on a relaxed structure of Hf4SiH.

Computed properties:
Calculated total energy, eV per cell: -99.6
Crystal system: tetragonal

Cell lengths 6.7388, 6.7388, 6.7388 Å; angles 103.14, 103.14, 123.04 degrees
Positions (direct):
1 Hf 0.3119 0.5136 0.2017
2 Hf 0.7715 0.0697 0.2982
3 Hf 0.2636 0.5619 0.7017
4 Hf 0.8197 0.0215 0.7982
5 Hf 0.2232 0.0215 0.2018
6 Hf 0.3119 0.1101 0.7983
7 Hf 0.8601 0.5619 0.2983
8 Hf 0.7715 0.4732 0.7018
9 Si 0.6666 0.6666 0.0000
10 Si 0.4166 0.9166 0.5000
11 H 0.9167 0.4167 0.5000
12 H 0.1667 0.1667 0.0000

# 7
VASP calculation (PBE-GGA) on a relaxed structure of Hf3SiH.

Computed properties:
Crystal system: triclinic
Energy above the most stable polymorph in this dataset, meV per atom: 0

Cell lengths 3.5668, 6.4279, 7.4365 Å; angles 86.05, 88.33, 106.40 degrees
Positions (direct):
1 Hf 0.7646 0.5897 0.3790
2 Hf 0.9892 0.9913 0.9895
3 Hf 0.0547 0.1627 0.4320
4 Hf 0.6924 0.3425 0.7654
5 Hf 0.3516 0.8116 0.6561
6 Hf 0.2794 0.5644 0.0426
7 Si 0.4248 0.8925 0.2761
8 Si 0.6192 0.2615 0.1455
9 H 0.1486 0.4746 0.5499
10 H 0.8953 0.6795 0.8716

# 8
VASP calculation (PBE-GGA) on a relaxed structure of Hf2Si2H.

Computed properties:
Crystal system: tetragonal
Energy above the most stable polymorph in this dataset, meV per atom: 0

Cell lengths 6.4399, 6.4399, 3.9176 Å; angles 90.00, 90.00, 90.00 degrees
Positions (direct):
1 Si 0.8725 0.3725 0.5000
2 Si 0.3725 0.1275 0.5000
3 Si 0.1275 0.6275 0.5000
4 Si 0.6275 0.8725 0.5000
5 H 0.0000 0.0000 0.0000
6 H 0.5000 0.5000 0.0000
7 Hf 0.3203 0.8203 0.0000
8 Hf 0.1797 0.3203 0.0000
9 Hf 0.8203 0.6797 0.0000
10 Hf 0.6797 0.1797 0.0000

# 9
VASP calculation (PBE-GGA) on a relaxed structure of HfSiH.

Computed properties:
Crystal system: tetragonal
Energy above the most stable polymorph in this dataset, meV per atom: 49

Cell lengths 3.2661, 3.2661, 6.9942 Å; angles 90.00, 90.00, 90.00 degrees
Positions (direct):
1 H 0.5000 0.5000 0.5000
2 H 0.0000 0.0000 0.5000
3 Si 0.0000 0.5000 0.0863
4 Si 0.5000 0.0000 0.9137
5 Hf 0.5000 0.0000 0.3111
6 Hf 0.0000 0.5000 0.6889

# 10
VASP calculation (PBE-GGA) on a relaxed structure of HfSiH.

Computed properties:
Crystal system: orthorhombic
Energy above the most stable polymorph in this dataset, meV per atom: 0

Cell lengths 3.4657, 8.0541, 5.4648 Å; angles 90.00, 90.00, 90.00 degrees
Positions (direct):
1 Hf 0.5000 0.7070 0.8392
2 Hf 0.0000 0.7930 0.3392
3 Hf 0.0000 0.2070 0.3392
4 Hf 0.5000 0.2930 0.8392
5 Si 0.5000 0.5000 0.2598
6 Si 0.0000 0.0000 0.7598
7 Si 0.0000 0.5000 0.5871
8 Si 0.5000 0.0000 0.0871
9 H 0.5000 0.8244 0.5174
10 H 0.0000 0.6756 0.0174
11 H 0.5000 0.1756 0.5174
12 H 0.0000 0.3244 0.0174

# 11
VASP calculation (PBE-GGA) on a relaxed structure of Hf4SiH2.

Computed properties:
Calculated total energy, eV per cell: -109.3
Crystal system: tetragonal

Cell lengths 6.7116, 6.7116, 6.7187 Å; angles 102.84, 102.84, 123.72 degrees
Positions (direct):
1 H 0.1252 0.3144 0.6894
2 H 0.6859 0.3751 0.8106
3 H 0.6250 0.4359 0.3106
4 H 0.5644 0.8752 0.1894
5 Si 0.9999 0.9999 0.0000
6 Si 0.2499 0.7499 0.5000
7 Hf 0.2971 0.1594 0.7485
8 Hf 0.9534 0.2012 0.3627
9 Hf 0.7986 0.1610 0.7516
10 Hf 0.4512 0.7034 0.8627
11 Hf 0.4109 0.5486 0.2515
12 Hf 0.8385 0.5907 0.6373
13 Hf 0.8407 0.5885 0.1373
14 Hf 0.4094 0.0470 0.2484

# 12
VASP calculation (PBE-GGA) on a relaxed structure of HfSiH.

Computed properties:
Crystal system: trigonal
Energy above the most stable polymorph in this dataset, meV per atom: 79

Cell lengths 3.5455, 3.5455, 21.7439 Å; angles 90.00, 90.00, 120.00 degrees
Positions (direct):
1 Hf 0.0000 0.0000 0.2266
2 Hf 0.6667 0.3333 0.1068
3 Hf 0.0000 0.0000 0.7734
4 Hf 0.6667 0.3333 0.5599
5 Hf 0.3333 0.6667 0.4401
6 Hf 0.3333 0.6667 0.8932
7 Si 0.6667 0.3333 0.6932
8 Si 0.6667 0.3333 0.9735
9 Si 0.0000 0.0000 0.3599
10 Si 0.3333 0.6667 0.0265
11 Si 0.3333 0.6667 0.3068
12 Si 0.0000 0.0000 0.6401
13 H 0.3333 0.6667 0.7990
14 H 0.0000 0.0000 0.1324
15 H 0.3333 0.6667 0.5343
16 H 0.6667 0.3333 0.4657
17 H 0.0000 0.0000 0.8676
18 H 0.6667 0.3333 0.2010

# 13
VASP calculation (PBE-GGA) on a relaxed structure of Hf3SiH.

Computed properties:
Crystal system: cubic
Energy above the most stable polymorph in this dataset, meV per atom: 114

Cell lengths 4.2969, 4.2969, 4.2969 Å; angles 90.00, 90.00, 90.00 degrees
Positions (direct):
1 Si 0.5000 0.5000 0.5000
2 Hf 0.5000 0.0000 0.0000
3 Hf 0.0000 0.0000 0.5000
4 Hf 0.0000 0.5000 0.0000
5 H 0.0000 0.0000 0.0000